[1]
Entry from Alexandria via LeMat-Bulk: a relaxed structure of LiTe2Pb (PBEsol).

The structure in CIF format:
```
data_LiTe2Pb
_chemical_formula_sum 'Li1 Te2 Pb1'
_symmetry_space_group_name_H-M 'P 1 m 1'
_symmetry_Int_Tables_number 6
_symmetry_space_group_name_Hall 'P -2y'
_cell_length_a 3.350
_cell_length_b 6.130
_cell_length_c 5.538
_cell_angle_alpha 90.00
_cell_angle_beta 90.03
_cell_angle_gamma 90.00
loop_
_atom_site_label
_atom_site_type_symbol
_atom_site_fract_x
_atom_site_fract_y
_atom_site_fract_z
Li1 Li 0.000 0.000 0.000
Te1 Te 0.024 0.500 0.999
Te2 Te 0.434 0.000 0.500
Pb1 Pb 0.581 0.500 0.499
```

Results
ΔE_f (raw) ... -0.41 eV/atom
Final energy ... -3.660 eV/atom


[2]
Entry from Alexandria via LeMat-Bulk: a relaxed structure of Li2Te2Pb (PBEsol).

The structure in CIF format:
```
data_Li2Te2Pb
_chemical_formula_sum 'Li4 Te4 Pb2'
_symmetry_space_group_name_H-M 'P 4/m b m'
_symmetry_Int_Tables_number 127
_symmetry_space_group_name_Hall '-P 4 2ab'
_cell_length_a 7.927
_cell_length_b 7.927
_cell_length_c 3.759
_cell_angle_alpha 90.00
_cell_angle_beta 90.00
_cell_angle_gamma 90.00
loop_
_atom_site_label
_atom_site_type_symbol
_atom_site_fract_x
_atom_site_fract_y
_atom_site_fract_z
Li1 Li 0.122 0.378 0.000
Te1 Te 0.182 0.682 0.500
Pb1 Pb 0.000 0.000 0.000
```

Results
ΔE_f (raw) ... -0.53 eV/atom
ΔE to the lowest computed polymorph ... 0.076 eV per atom
Final energy ... -3.528 eV/atom


[3]
Entry from Alexandria via LeMat-Bulk: a relaxed structure of LiTe2Pb (PBEsol).

The structure in CIF format:
```
data_LiTe2Pb
_chemical_formula_sum 'Li4 Te8 Pb4'
_symmetry_space_group_name_H-M 'I -4 2 d'
_symmetry_Int_Tables_number 122
_symmetry_space_group_name_Hall 'I -4 2bw'
_cell_length_a 6.402
_cell_length_b 6.402
_cell_length_c 13.751
_cell_angle_alpha 90.00
_cell_angle_beta 90.00
_cell_angle_gamma 90.00
loop_
_atom_site_label
_atom_site_type_symbol
_atom_site_fract_x
_atom_site_fract_y
_atom_site_fract_z
Li1 Li 0.000 0.000 0.000
Te1 Te 0.210 0.250 0.125
Pb1 Pb 0.000 0.000 0.500
```

Results
ΔE_f (raw) ... -0.34 eV/atom
Final energy ... -3.592 eV/atom


[4]
Entry from Alexandria via LeMat-Bulk: a relaxed structure of LiTe2Pb (PBEsol).

The structure in CIF format:
```
data_LiTe2Pb
_chemical_formula_sum 'Li2 Te4 Pb2'
_symmetry_space_group_name_H-M 'C m m m'
_symmetry_Int_Tables_number 65
_symmetry_space_group_name_Hall '-C 2 2'
_cell_length_a 6.622
_cell_length_b 8.112
_cell_length_c 4.092
_cell_angle_alpha 90.00
_cell_angle_beta 90.00
_cell_angle_gamma 90.00
loop_
_atom_site_label
_atom_site_type_symbol
_atom_site_fract_x
_atom_site_fract_y
_atom_site_fract_z
Li1 Li 0.000 0.000 0.000
Te1 Te 0.250 0.250 0.500
Pb1 Pb 0.000 0.500 0.000
```

Results
ΔE_f (raw) ... -0.37 eV/atom
Final energy ... -3.620 eV/atom


[5]
Entry from Alexandria via LeMat-Bulk: a relaxed structure of Li2Te2Pb (PBEsol).

The structure in CIF format:
```
data_Li2Te2Pb
_chemical_formula_sum 'Li4 Te4 Pb2'
_symmetry_space_group_name_H-M 'I 4/m m m'
_symmetry_Int_Tables_number 139
_symmetry_space_group_name_Hall '-I 4 2'
_cell_length_a 4.174
_cell_length_b 4.174
_cell_length_c 14.465
_cell_angle_alpha 90.00
_cell_angle_beta 90.00
_cell_angle_gamma 90.00
loop_
_atom_site_label
_atom_site_type_symbol
_atom_site_fract_x
_atom_site_fract_y
_atom_site_fract_z
Li1 Li 0.000 0.500 0.250
Te1 Te 0.000 0.000 0.126
Pb1 Pb 0.000 0.000 0.500
```

Results
ΔE_f (raw) ... -0.61 eV/atom
ΔE to the lowest computed polymorph ... 0.000 eV per atom
Final energy ... -3.604 eV/atom


[6]
Entry from Alexandria via LeMat-Bulk: a relaxed structure of LiTe2Pb (PBEsol).

The structure in CIF format:
```
data_LiTe2Pb
_chemical_formula_sum 'Li1 Te2 Pb1'
_symmetry_space_group_name_H-M 'P 4 m m'
_symmetry_Int_Tables_number 99
_symmetry_space_group_name_Hall 'P 4 -2'
_cell_length_a 4.178
_cell_length_b 4.178
_cell_length_c 6.732
_cell_angle_alpha 90.00
_cell_angle_beta 90.00
_cell_angle_gamma 90.00
loop_
_atom_site_label
_atom_site_type_symbol
_atom_site_fract_x
_atom_site_fract_y
_atom_site_fract_z
Li1 Li 0.000 0.000 0.000
Te1 Te 0.000 0.000 0.574
Te2 Te 0.500 0.500 0.010
Pb1 Pb 0.500 0.500 0.440
```

Results
ΔE_f (raw) ... -0.40 eV/atom
Final energy ... -3.654 eV/atom


Question: Which of these has the lowest final energy?
Answer: number 1


Question: What is the final energy in the fifth record?
Answer: -3.604 eV/atom


Question: Among the records above, which one has the highest ΔE_f (raw)?
Answer: number 3